Record 1
Density functional theory data (PBE) for a geometry-optimized KBe2Cl structure.

Lattice parameters (Å, degrees): 6.8462 6.8462 6.8462 154.00 141.23 47.28
Last column: nearest neighbours and their distance in Å.
Sites, in units of the cell vectors:
K 0.0000 0.0000 0.0000  4 Cl 2.75
Be 0.2591 0.7591 0.5000  6 Be 2.75-3.08
Be 0.7409 0.2409 0.5000  6 Be 2.75-3.08
Cl 0.5000 0.5000 0.0000  4 K 2.75

Results
The calculation puts the mass density at 1.8 Mg/m³. As for the total moment: 0.00 μB/atom. The electronic total energy is -2.24 eV/atom. The formation energy without anion corrections is 34.8 kJ per mole of atoms.

***

Record 2
Density functional theory data (PBE) for a geometry-optimized KBe4Cl structure.

Lattice parameters (Å, degrees): 5.2374 5.2374 5.2374 60.00 60.00 60.00
Last column: nearest neighbours and their distance in Å.
Sites, in units of the cell vectors:
K 0.0000 0.0000 0.0000  12 Be 3.05, 4 Cl 3.21
Be 0.0865 0.6378 0.6378  3 Be 2.35
Be 0.6378 0.0865 0.6378  3 Be 2.35
Be 0.6378 0.6378 0.0865  3 Be 2.35
Be 0.6378 0.6378 0.6378  3 Be 2.35
Cl 0.2500 0.2500 0.2500  12 Be 3.10, 4 K 3.21

Results
The calculation puts the mass density at 1.8 Mg/m³. As for the total moment: 0.00 μB/atom. The electronic total energy is -2.05 eV/atom. The formation energy without anion corrections is 88.8 kJ per mole of atoms.

***

Record 3
Density functional theory data (PBE) for a geometry-optimized K2BeCl structure.

Lattice parameters (Å, degrees): 7.5513 7.5513 7.5513 110.74 110.74 106.95
Last column: nearest neighbours and their distance in Å.
Sites, in units of the cell vectors:
K 0.0858 0.6250 0.9608  2 Cl 3.02
K 0.3750 0.3358 0.4608  2 Cl 3.02
K 0.6642 0.1250 0.0392  2 Cl 3.02
K 0.8750 0.9142 0.5392  2 Cl 3.02
Be 0.2500 0.7500 0.5000  4 K 3.47
Be 0.5000 0.5000 0.0000  4 K 3.47
Cl 0.0000 0.0000 0.0000  4 K 3.02
Cl 0.7500 0.2500 0.5000  4 K 3.02

Results
The calculation puts the mass density at 1.2 Mg/m³. As for the total moment: 0.25 μB/atom. The electronic total energy is -2.11 eV/atom. The formation energy without anion corrections is -16.6 kJ per mole of atoms.

***

Record 4
Density functional theory data (PBE) for a geometry-optimized KBe2Cl structure.

Lattice parameters (Å, degrees): 5.3777 5.3777 5.3777 60.00 60.00 60.00
Last column: nearest neighbours and their distance in Å.
Sites, in units of the cell vectors:
K 0.0000 0.0000 0.0000  8 Be 3.29
Be 0.2500 0.2500 0.2500  4 Cl 3.29, 4 K 3.29
Be 0.7500 0.7500 0.7500  4 Cl 3.29, 4 K 3.29
Cl 0.5000 0.5000 0.5000  8 Be 3.29

Results
The calculation puts the mass density at 1.4 Mg/m³. As for the total moment: 0.00 μB/atom. The electronic total energy is -1.64 eV/atom. The formation energy without anion corrections is 92.5 kJ per mole of atoms.

***

Record 5
Density functional theory data (PBE) for a geometry-optimized KBe2Cl structure.

Lattice parameters (Å, degrees): 3.1993 3.3625 7.5692 90.00 102.10 90.00
Last column: nearest neighbours and their distance in Å.
Sites, in units of the cell vectors:
K 0.0000 0.0000 0.0000  4 Cl 3.00, 2 K 3.20
Be 0.2988 0.0000 0.6000  4 Be 2.36
Be 0.7710 0.5000 0.5433  1 Cl 2.12, 4 Be 2.36
Cl 0.6270 0.5000 0.2567  1 Be 2.12

Results
The calculation puts the mass density at 1.9 Mg/m³. As for the total moment: 0.00 μB/atom. The electronic total energy is -2.59 eV/atom. The formation energy without anion corrections is 0.7 kJ per mole of atoms.

***

Record 6
Density functional theory data (PBE) for a geometry-optimized KLiBeCl4 structure.

Lattice parameters (Å, degrees): 5.9565 6.9324 8.5065 90.00 106.66 90.00
Last column: nearest neighbours and their distance in Å.
Sites, in units of the cell vectors:
K 0.2330 0.2500 0.4214  9 Cl 3.24-3.49
K 0.7670 0.7500 0.5786  9 Cl 3.24-3.49
Li 0.3490 0.2500 0.9892  5 Cl 2.40-2.62
Li 0.6510 0.7500 0.0108  5 Cl 2.40-2.62
Be 0.2896 0.7500 0.1930  4 Cl 2.00-2.07
Be 0.7104 0.2500 0.8070  4 Cl 2.00-2.07
Cl 0.0382 0.7500 0.9788  1 Be 2.00
Cl 0.1721 0.7500 0.3929  1 Be 2.02
Cl 0.4871 0.0180 0.7924  1 Be 2.07
Cl 0.4871 0.4820 0.7924  1 Be 2.07
Cl 0.5129 0.5180 0.2076  1 Be 2.07
Cl 0.5129 0.9820 0.2076  1 Be 2.07
Cl 0.8279 0.2500 0.6071  1 Be 2.02
Cl 0.9618 0.2500 0.0212  1 Be 2.00

Results
The calculation puts the mass density at 1.9 Mg/m³. As for the total moment: 0.00 μB/atom. The electronic total energy is -3.71 eV/atom. The formation energy without anion corrections is -163.6 kJ per mole of atoms.

***

Record 7
Density functional theory data (PBE) for a geometry-optimized KLiBe2Cl6 structure.

Lattice parameters (Å, degrees): 8.1408 8.1408 8.1408 47.03 47.03 47.03
Last column: nearest neighbours and their distance in Å.
Sites, in units of the cell vectors:
K 0.0000 0.0000 0.0000  6 Cl 3.21
Li 0.5000 0.5000 0.5000  6 Cl 2.65
Be 0.2367 0.2367 0.2367  3 Cl 1.93
Be 0.7633 0.7633 0.7633  3 Cl 1.93
Cl 0.0753 0.4862 0.7187  1 Be 1.93
Cl 0.2813 0.9247 0.5138  1 Be 1.93
Cl 0.4862 0.7187 0.0753  1 Be 1.93
Cl 0.5138 0.2813 0.9247  1 Be 1.93
Cl 0.7187 0.0753 0.4862  1 Be 1.93
Cl 0.9247 0.5138 0.2813  1 Be 1.93

Results
The calculation puts the mass density at 1.7 Mg/m³. As for the total moment: 0.00 μB/atom. The electronic total energy is -3.74 eV/atom. The formation energy without anion corrections is -153.3 kJ per mole of atoms.

***

Record 8
Density functional theory data (PBE) for a geometry-optimized KLiBe2Cl structure.

Lattice parameters (Å, degrees): 4.5545 4.5545 5.4914 90.00 90.00 90.00
Last column: nearest neighbours and their distance in Å.
Sites, in units of the cell vectors:
K 0.0000 0.0000 0.0000  4 Cl 3.22, 8 Be 3.57
Li 0.5000 0.5000 0.5000  4 Be 2.28
Be 0.0000 0.5000 0.5000  2 Li 2.28
Be 0.5000 0.0000 0.5000  2 Li 2.28
Cl 0.5000 0.5000 0.0000  2 Li 2.75

Results
The calculation puts the mass density at 1.5 Mg/m³. As for the total moment: 0.00 μB/atom. The electronic total energy is -2.07 eV/atom. The formation energy without anion corrections is 37.9 kJ per mole of atoms.

***

Record 9
Density functional theory data (PBE) for a geometry-optimized KMgBe2Cl8 structure.

Lattice parameters (Å, degrees): 9.6512 9.6512 9.6512 36.86 36.86 36.86
Last column: nearest neighbours and their distance in Å.
Sites, in units of the cell vectors:
K 0.0000 0.0000 0.0000  12 Cl 3.55-3.67
Mg 0.5000 0.5000 0.5000  6 Cl 2.54
Be 0.2434 0.2434 0.2434  4 Cl 2.02-2.03
Be 0.7566 0.7566 0.7566  4 Cl 2.02-2.03
Cl 0.0995 0.7735 0.4623  1 Be 2.03
Cl 0.2265 0.5377 0.9005  1 Be 2.03
Cl 0.3184 0.3184 0.3184  1 Be 2.02
Cl 0.4623 0.0995 0.7735  1 Be 2.03
Cl 0.5377 0.9005 0.2265  1 Be 2.03
Cl 0.6816 0.6816 0.6816  1 Be 2.02
Cl 0.7735 0.4623 0.0995  1 Be 2.03
Cl 0.9005 0.2265 0.5377  1 Be 2.03

Results
The calculation puts the mass density at 2.1 Mg/m³. As for the total moment: 0.10 μB/atom. The electronic total energy is -3.49 eV/atom. The formation energy without anion corrections is -136.5 kJ per mole of atoms.

***

Record 10
Density functional theory data (PBE) for a geometry-optimized KMnBeCl2 structure.

Lattice parameters (Å, degrees): 4.5260 4.5260 7.5443 90.00 90.00 90.00
Last column: nearest neighbours and their distance in Å.
Sites, in units of the cell vectors:
K 0.0000 0.0000 0.0000  4 Mn 3.20
Mn 0.5000 0.5000 0.0000  4 K 3.20
Be 0.0000 0.0000 0.5000  4 Cl 2.26
Cl 0.0000 0.5000 0.5000  2 Be 2.26
Cl 0.5000 0.0000 0.5000  2 Be 2.26

Results
The calculation puts the mass density at 1.9 Mg/m³. As for the total moment: 0.86 μB/atom. The electronic total energy is -3.31 eV/atom. The formation energy without anion corrections is 22.3 kJ per mole of atoms.